Record 1
{
  "formula": "AcScSn2",
  "functional": "GGA-PBE",
  "state": "optimized geometry",
  "cell": [[4.990, 0.000, 0.000], [0.000, 4.990, 0.000], [0.000, 0.000, 4.626]],
  "species": ["Ac", "Sc", "Sn", "Sn"],
  "frac_coords": [[0.000, 0.000, 0.000], [0.500, 0.500, 0.000], [0.000, 0.500, 0.500], [0.500, 0.000, 0.500]],
  "sg": "P4/mmm",
  "final_energy_ev_per_cell": -20.27,
  "formation_energy_mev_per_atom": -457
}

***

Record 2
{
  "formula": "LiMo2As",
  "functional": "GGA-PBE",
  "state": "optimized geometry",
  "cell": [[-2.174, 2.174, 3.063], [2.174, -2.174, 3.063], [2.174, 2.174, -3.063]],
  "species": ["Li", "Mo", "Mo", "As"],
  "frac_coords": [[0.000, 0.000, 0.000], [0.250, 0.750, 0.500], [0.500, 0.500, 0.000], [0.750, 0.250, 0.500]],
  "sg": "I-4m2",
  "final_energy_ev_per_cell": -28.30,
  "formation_energy_mev_per_atom": -20
}

***

Copy entry 1 word for word.
{
  "formula": "AcScSn2",
  "functional": "GGA-PBE",
  "state": "optimized geometry",
  "cell": [[4.990, 0.000, 0.000], [0.000, 4.990, 0.000], [0.000, 0.000, 4.626]],
  "species": ["Ac", "Sc", "Sn", "Sn"],
  "frac_coords": [[0.000, 0.000, 0.000], [0.500, 0.500, 0.000], [0.000, 0.500, 0.500], [0.500, 0.000, 0.500]],
  "sg": "P4/mmm",
  "final_energy_ev_per_cell": -20.27,
  "formation_energy_mev_per_atom": -457
}